# 1
The following is a PBE calculation of crystalline BaLaMgSn at its relaxed geometry, from Alexandria via LeMat-Bulk.

Structure (POSCAR):
```
BaLaMgSn
1.0
0.000 4.081 4.081
4.081 0.000 4.081
4.081 4.081 0.000
Ba La Mg Sn
1 1 1 1
Direct
0.000 0.000 0.000
0.500 0.500 0.500
0.250 0.250 0.250
0.750 0.750 0.750
```

Computed properties:
VASP energy in eV/cell: -13.84
Symmetry: F-43m
N(E_F) in states/eV per atom: 1.03

# 2
The following is a PBE calculation of crystalline BaLaMg2Sn2 at its relaxed geometry, from Alexandria via LeMat-Bulk.

Structure (POSCAR):
```
BaLaMg2Sn2
1.0
5.071 0.000 0.000
-2.536 4.392 0.000
0.000 0.000 8.378
Ba La Mg Sn
1 1 2 2
Direct
0.000 0.000 0.000
0.000 0.000 0.500
0.333 0.667 0.697
0.667 0.333 0.303
0.333 0.667 0.278
0.667 0.333 0.722
```

Computed properties:
VASP energy in eV/cell: -21.36
Symmetry: P-3m1
N(E_F) in states/eV per atom: 0.63

# 3
The following is a PBE calculation of crystalline BaLaMg2Tc at its relaxed geometry, from Alexandria via LeMat-Bulk.

Structure (POSCAR):
```
BaLaMg2Tc
1.0
6.093 0.000 0.000
0.000 6.093 0.000
0.000 0.000 4.860
Ba La Mg Tc
1 1 2 1
Direct
0.000 0.000 0.000
0.500 0.500 0.500
0.000 0.500 0.500
0.500 0.000 0.500
0.500 0.500 0.000
```

Computed properties:
Offset from the most stable computed form in meV per atom: 644
Symmetry: P4/mmm
N(E_F) in states/eV per atom: 1.16